[1]
VASP calculation (GGA+U) on a relaxed ErPbWO6 crystal.

SG   P312, No. 149

Cell lengths 4.882, 5.586, 5.586 Å; angles 120.00, 90.00, 90.00 degrees
Positions (direct):
O (0.722, 0.713, 0.702)
O (0.722, 0.298, 0.011)
O (0.278, 0.298, 0.287)
O (0.722, 0.989, 0.287)
O (0.278, 0.713, 0.011)
O (0.278, 0.989, 0.702)
Er (0.500, 0.667, 0.333)
W (0.500, 0.000, 0.000)
Pb (0.000, 0.333, 0.667)

[2]
VASP calculation (GGA+U) on a relaxed Er2PbWO8 crystal.

SG   Cmmm, No. 65

Cell lengths 4.969, 4.970, 6.810 Å; angles 90.00, 90.00, 92.39 degrees
Positions (direct):
O (0.300, 0.300, 0.500)
O (0.283, 0.283, 0.000)
O (0.815, 0.185, 0.785)
O (0.717, 0.717, 0.000)
O (0.700, 0.700, 0.500)
O (0.815, 0.185, 0.215)
O (0.185, 0.815, 0.215)
O (0.185, 0.815, 0.785)
Er (0.500, 0.500, 0.757)
Er (0.500, 0.500, 0.243)
Pb (0.000, 0.000, 0.500)
W (0.000, 0.000, 0.000)

no.,E (eV per cell)
1,-64.35
2,-88.46